Record 1
A geometry-optimized Mn3P structure. Source: Alexandria via LeMat-Bulk, functional PBE.

Cell and atoms, written as POSCAR:
```
Mn3P
1.0
3.920 0.000 0.000
0.000 3.920 0.000
0.000 0.000 2.837
Mn P
3 1
direct
0.000 0.000 0.000 Mn
0.000 0.500 0.500 Mn
0.500 0.000 0.500 Mn
0.500 0.500 0.000 P
```

- calculated density (g/cm3) = 7.46
- symmetry = No. 123
- E_form (eV per formula unit) = -0.88

Record 2
A geometry-optimized Li2PRu structure. Source: Alexandria via LeMat-Bulk, functional PBE.

Cell and atoms, written as POSCAR:
```
Li2PRu
1.0
8.260 0.000 0.000
0.000 3.011 0.000
-1.867 0.000 4.327
Li P Ru
4 2 2
direct
0.000 0.000 0.000 Li
0.227 0.000 0.822 Li
0.500 0.500 0.000 Li
0.727 0.500 0.822 Li
0.228 0.500 0.407 P
0.728 0.000 0.407 P
0.442 0.000 0.434 Ru
0.942 0.500 0.434 Ru
```

- calculated density (g/cm3) = 4.50
- symmetry = No. 8
- E_form (eV per formula unit) = -1.57

Record 3
A geometry-optimized ErTiAgRu structure. Source: Alexandria via LeMat-Bulk, functional PBE.

Cell and atoms, written as POSCAR:
```
ErTiAgRu
1.0
6.656 0.000 0.000
0.000 6.656 0.000
0.000 0.000 6.656
Er Ti Ag Ru
4 4 4 4
direct
0.000 0.000 0.000 Er
0.000 0.500 0.500 Er
0.500 0.000 0.500 Er
0.500 0.500 0.000 Er
0.000 0.000 0.500 Ti
0.000 0.500 0.000 Ti
0.500 0.000 0.000 Ti
0.500 0.500 0.500 Ti
0.250 0.250 0.250 Ag
0.250 0.750 0.750 Ag
0.750 0.250 0.750 Ag
0.750 0.750 0.250 Ag
0.250 0.250 0.750 Ru
0.250 0.750 0.250 Ru
0.750 0.250 0.250 Ru
0.750 0.750 0.750 Ru
```

- calculated density (g/cm3) = 9.55
- symmetry = No. 216
- E_form (eV per formula unit) = -0.78

Record 4
A geometry-optimized Dy2PbS4 structure. Source: Alexandria via LeMat-Bulk, functional PBE.

Cell and atoms, written as POSCAR:
```
Dy2PbS4
1.0
-4.265 4.265 4.248
4.265 -4.265 4.248
4.265 4.265 -4.248
Dy Pb S
4 2 8
direct
0.003 0.625 0.878 Dy
0.375 0.253 0.378 Dy
0.747 0.125 0.122 Dy
0.875 0.997 0.622 Dy
0.250 0.750 0.500 Pb
0.500 0.500 0.000 Pb
0.107 0.361 0.599 S
0.111 0.357 0.099 S
0.258 0.012 0.901 S
0.492 0.893 0.255 S
0.639 0.238 0.745 S
0.643 0.742 0.755 S
0.762 0.508 0.401 S
0.988 0.889 0.245 S
```

- calculated density (g/cm3) = 7.10
- symmetry = No. 122
- excess energy over the best structure of this formula in the dataset (meV/atom) = 66
- ΔE_f (raw) (eV per atom) = -1.569

What is the calculated density in the fourth record? 7.10 g/cm3

The highest calculated density belongs to which entry? ErTiAgRu